Record 1
A plane-wave DFT calculation with PBE-GGA was carried out for an optimized crystal structure of KAsRu2.

The structure belongs to space group R-3m (No. 166, hexagonal axes); the cell edges are 3.0949, 3.0949 and 27.1049 Å and the angles 90.00°, 90.00° and 120.00°. The inequivalent atoms are K at (0.0000, 0.0000, 0.0000), As at (0.0000, 0.0000, 0.5000) and Ru at (0.0000, 0.0000, 0.2288).

The calculation puts the spin magnetization at 0.84 μB/cell. The density of states at the Fermi level comes out at 12.427 states/eV per cell. As for the total energy: -66.6 eV per cell.

---

Record 2
A plane-wave DFT calculation with PBE-GGA was carried out for an optimized crystal structure of BaIr2Au.

The structure belongs to space group R-3m (No. 166, hexagonal axes); the cell edges are 3.0065, 3.0065 and 30.2741 Å and the angles 90.00°, 90.00° and 120.00°. The inequivalent atoms are Ba at (0.0000, 0.0000, 0.0000), Ir at (0.0000, 0.0000, 0.2394) and Au at (0.0000, 0.0000, 0.5000).

The calculation puts the spin magnetization at 1.16 μB/cell. The energy above the most stable polymorph in this dataset comes out at 999 meV per atom. The density of states at the Fermi level comes out at 15.544 states/eV per cell.

---

Record 3
A plane-wave DFT calculation with PBE-GGA was carried out for an optimized crystal structure of Ca2BiO.

The structure belongs to space group Fm-3m (No. 225); the cell edges are 7.3325, 7.3325 and 7.3325 Å and the angles 90.00°, 90.00° and 90.00°. The inequivalent atoms are Ca at (0.2500, 0.2500, 0.2500), Bi at (0.0000, 0.0000, 0.0000) and O at (0.0000, 0.0000, 0.5000).

The calculation puts the spin magnetization at 4.00 μB/cell. The energy above the most stable polymorph in this dataset comes out at 951 meV per atom. The density of states at the Fermi level comes out at 10.818 states/eV per cell. The value obtained for the uncorrected formation energy is -0.81 eV/atom.

---

What did the first record say?
A plane-wave DFT calculation with PBE-GGA was carried out for an optimized crystal structure of KAsRu2.

The structure belongs to space group R-3m (No. 166, hexagonal axes); the cell edges are 3.0949, 3.0949 and 27.1049 Å and the angles 90.00°, 90.00° and 120.00°. The inequivalent atoms are K at (0.0000, 0.0000, 0.0000), As at (0.0000, 0.0000, 0.5000) and Ru at (0.0000, 0.0000, 0.2288).

The calculation puts the spin magnetization at 0.84 μB/cell. The density of states at the Fermi level comes out at 12.427 states/eV per cell. As for the total energy: -66.6 eV per cell.